[1]
Density functional theory data (PBE-GGA) for a relaxed NbGaGe crystal.

Summary:
The calculation puts the energy above the most stable polymorph in this dataset at 0.333 eV per atom.

CIF file:
```
data_NbGaGe
_chemical_formula_sum 'Nb1 Ga1 Ge1'
_space_group_name_H-M_alt 'P 3 m 1'
_space_group_IT_number 156
_cell_length_a 4.6095
_cell_length_b 4.6095
_cell_length_c 2.7448
_cell_angle_alpha 90.00
_cell_angle_beta 90.00
_cell_angle_gamma 120.00
loop_
_space_group_symop_operation_xyz
'x,y,z'
'-y,x-y,z'
'-x+y,-x,z'
'-y,-x,z'
'-x+y,y,z'
'x,x-y,z'
loop_
_atom_site_label
_atom_site_type_symbol
_atom_site_fract_x
_atom_site_fract_y
_atom_site_fract_z
_atom_site_occupancy
Nb1 Nb 0.0000 0.0000 0.0000 1
Ga1 Ga 0.3333 0.6667 0.5008 1
Ge1 Ge 0.6667 0.3333 0.4981 1
```

[2]
Density functional theory data (PBE-GGA) for a relaxed Er4ScNi2 crystal.

CIF file:
```
data_Er4ScNi2
_chemical_formula_sum 'Er12 Sc3 Ni6'
_space_group_name_H-M_alt 'R -3 m'
_space_group_IT_number 166
_space_group_name_Hall '-R 3 2"'
_cell_length_a 3.8129
_cell_length_b 3.8129
_cell_length_c 42.6158
_cell_angle_alpha 90.00
_cell_angle_beta 90.00
_cell_angle_gamma 120.00
loop_
_atom_site_label
_atom_site_type_symbol
_atom_site_fract_x
_atom_site_fract_y
_atom_site_fract_z
_atom_site_occupancy
Er1 Er 0.0000 0.0000 0.1056 1
Er2 Er 0.0000 0.0000 0.2989 1
Sc1 Sc 0.0000 0.0000 0.5000 1
Ni1 Ni 0.0000 0.0000 0.4032 1
```

Table of DFT total energy (eV/cell), in record order: -17.73; -110.85